DFT (PBE-GGA) results for a geometry-optimized Zr2ScCd structure.

Cell lengths 3.2545, 4.3168, 6.4924 Å; angles 90.00, 90.00, 90.00 degrees
Element x y z (fractional)
Cd (0.0000, 0.0000, 0.5040)
Zr (0.0000, 0.0000, 0.0074)
Sc (0.5000, 0.5000, 0.7505)
Zr (0.5000, 0.5000, 0.2382)

Summary:
Its distance to the lowest polymorph of the same formula is 0.19 eV/f.u. The formation energy is -71 meV/atom.